{"formula": "Ba2TcNi", "functional": "PBE-GGA", "state": "optimized geometry", "cell": [[4.2692, 0.0000, 0.0000], [0.0000, 2.4809, 5.7917], [0.0000, -2.4809, 5.7917]], "species": ["Ba", "Ba", "Tc", "Ni"], "frac_coords": [[0.0000, 0.0000, 0.0000], [0.5000, 0.2895, 0.2895], [0.5000, 0.6083, 0.6083], [0.0000, 0.6873, 0.6873]], "energy_ev_per_atom": -4.57, "delta_e_f_ev_per_atom": 0.43, "magmom_total_mub_per_fu": 0.6, "de_polymorph_mev_per_atom": 125}